The following is a DFT calculation (PBE-GGA) of a relaxed structure of CaNd2Pa2Rh5.

abc: 11.125 11.125 3.599
angles: 90.00 90.00 90.00
Space group P4/mbm (No. 127)
Inequivalent atoms, fractional coordinates:
Ca 0.000 0.000 0.000 x2
Nd 0.172 0.328 0.000 x4
Pa 0.136 0.636 0.000 x4
Rh 0.000 0.500 0.500 x2
Rh 0.049 0.786 0.500 x8

Values from the calculation:
E_tot   -7.29 eV/atom
D(E_F)   8.01 states/eV/f.u.
Theoretical density   9.731 g/cm³
ΔE_f   -0.566 eV/atom
Crystal system   tetragonal